Record 1
Material: LaDyPtAu
Method: DFT, PBE
State: relaxed

Values from the calculation:
* space group: Amm2
* crystal system: orthorhombic
* D(E_F): 5.4 states/eV/cell
* uncorrected energy: -5.734 eV/atom
* relative energy among the computed polymorphs: 0.00 eV per formula unit
* energy relative to the elements: -1.0221 eV/atom

a b c (Å): 4.752 3.880 10.818
angles (deg): 90.00 90.00 90.00
Fractional positions:
1 La 0.000 0.000 0.000
2 La 0.000 0.500 0.500
3 Dy 0.500 0.000 0.726
4 Dy 0.500 0.500 0.226
5 Pt 0.000 0.000 0.270
6 Pt 0.000 0.500 0.770
7 Au 0.500 0.000 0.446
8 Au 0.500 0.500 0.946


Record 2
Material: U6Te12Pt
Method: DFT, PBE
State: relaxed

Values from the calculation:
* energy relative to the elements, uncorrected: -0.509 eV per atom
* space group: R-3
* crystal system: trigonal
* D(E_F): 42.2 states/eV/cell
* uncorrected energy: -6.376 eV/atom

a b c (Å): 8.735 8.735 8.735
angles (deg): 100.81 100.81 100.81
Fractional positions:
1 U 0.133 0.629 0.807
2 U 0.193 0.867 0.371
3 U 0.371 0.193 0.867
4 U 0.629 0.807 0.133
5 U 0.807 0.133 0.629
6 U 0.867 0.371 0.193
7 Te 0.062 0.920 0.678
8 Te 0.080 0.322 0.938
9 Te 0.187 0.531 0.451
10 Te 0.322 0.938 0.080
11 Te 0.451 0.187 0.531
12 Te 0.469 0.549 0.813
13 Te 0.531 0.451 0.187
14 Te 0.549 0.813 0.469
15 Te 0.678 0.062 0.920
16 Te 0.813 0.469 0.549
17 Te 0.920 0.678 0.062
18 Te 0.938 0.080 0.322
19 Pt 0.500 0.500 0.500


Record 3
Material: GaGe3Sb
Method: DFT, PBE
State: relaxed

Values from the calculation:
* energy relative to the elements, uncorrected: 0.544 eV per atom
* space group: Pm-3m
* crystal system: cubic
* D(E_F): 2.5 states/eV/cell
* uncorrected energy: -3.656 eV/atom
* relative energy among the computed polymorphs: 0.00 eV per formula unit

a b c (Å): 4.951 4.951 4.951
angles (deg): 90.00 90.00 90.00
Fractional positions:
1 Ga 0.000 0.000 0.000
2 Ge 0.000 0.000 0.500
3 Ge 0.000 0.500 0.000
4 Ge 0.500 0.000 0.000
5 Sb 0.500 0.500 0.500


Record 4
Material: Pm3Dy2HoBi6
Method: DFT, PBE
State: relaxed

Values from the calculation:
* space group: C2/m
* crystal system: monoclinic
* D(E_F): 2.0 states/eV/cell
* uncorrected energy: -5.172 eV/atom
* energy relative to the elements: -0.8949 eV/atom

a b c (Å): 10.113 10.113 9.048
angles (deg): 102.82 102.82 25.86
Fractional positions:
1 Pm 0.000 0.000 0.000
2 Pm 0.333 0.333 0.667
3 Pm 0.667 0.667 0.333
4 Dy 0.333 0.333 0.167
5 Dy 0.667 0.667 0.833
6 Ho 0.000 0.000 0.500
7 Bi 0.165 0.165 0.587
8 Bi 0.168 0.168 0.079
9 Bi 0.499 0.499 0.255
10 Bi 0.501 0.501 0.745
11 Bi 0.832 0.832 0.921
12 Bi 0.835 0.835 0.413